This record from the Open Quantum Materials Database describes AlFeTcNi after structural relaxation. The functional is PBE.

It has space group F-43m (No. 216), with a = 5.806 Å, b = 5.806 Å, c = 5.806 Å, α = 90.00°, β = 90.00° and γ = 90.00°. The asymmetric unit holds Al at (0.000, 0.000, 0.000), Fe at (0.000, 0.000, 0.500), Tc at (0.250, 0.250, 0.750) and Ni at (0.250, 0.250, 0.250).

For the uncorrected energy, the calculation gives -114.5 eV for the cell shown. The value obtained for the total magnetization is 0.113 μB per atom. The offset from the most stable computed form is 0.000 eV/atom. As for the crystal system: cubic.